VASP calculation (GGA-PBE) on crystalline KTl11 at its relaxed geometry.

Values from the calculation:
- E (eV per atom) = -2.271
- ΔH_f (0 K) (eV/atom) = -0.0108

a = 11.2786 Å, b = 11.2786 Å, c = 3.4399 Å
α = 90.00°, β = 90.00°, γ = 120.00°
Space group P6/mmm (No. 191)
Unique sites:
K 0.0000 0.0000 0.0000 [1 per cell]
Tl 0.0000 0.5000 0.0000 [3 per cell]
Tl 0.1766 0.3532 0.5000 [6 per cell]
Tl 0.3333 0.6667 0.0000 [2 per cell]

VASP calculation (GGA-PBE) on crystalline La2TbSmEr at its relaxed geometry.

Values from the calculation:
- E (eV per atom) = -4.529
- ΔH_f (0 K) (eV/atom) = 0.2249

a = 6.4847 Å, b = 7.8933 Å, c = 6.7610 Å
α = 90.00°, β = 90.00°, γ = 90.00°
Space group Pmma (No. 51)
Unique sites:
La 0.2500 0.2025 0.2112 [4 per cell]
Tb 0.2500 0.0000 0.6850 [2 per cell]
Sm 0.2500 0.5000 0.9102 [2 per cell]
Er 0.0000 0.5000 0.5000 [2 per cell]

VASP calculation (GGA-PBE) on crystalline TaH2N at its relaxed geometry.

Values from the calculation:
- E (eV per atom) = -6.197

a = 4.7796 Å, b = 4.7796 Å, c = 4.7796 Å
α = 90.00°, β = 90.00°, γ = 90.00°
Space group Fm-3m (No. 225)
Unique sites:
Ta 0.0000 0.0000 0.0000 [4 per cell]
H 0.2500 0.2500 0.2500 [8 per cell]
N 0.0000 0.0000 0.5000 [4 per cell]